# PrErZnRu

Crystalline PrErZnRu at its relaxed geometry (PBE, Alexandria).

a = 4.036 Å, b = 4.290 Å, c = 5.741 Å
α = 90.00°, β = 110.58°, γ = 90.00°
Atoms (fractional coordinates):
Pr: 0.852 0.500 0.703
Zn: 0.435 0.000 0.870
Ru: 0.578 0.500 0.156
Er: 0.136 0.000 0.271

## Properties
For the formation energy, the calculation gives -0.27 eV per atom.

# KTl2Sn2Se4

Crystalline KTl2Sn2Se4 at its relaxed geometry (PBE, Alexandria).

a = 5.502 Å, b = 9.366 Å, c = 6.838 Å
α = 78.28°, β = 90.00°, γ = 107.08°
Atoms (fractional coordinates):
Se: 0.829 0.657 0.847
Tl: 0.197 0.393 0.608
Sn: 0.327 0.653 0.956
K: 0.000 0.000 0.000
Se: 0.605 0.210 0.743
Tl: 0.803 0.607 0.392
Sn: 0.673 0.347 0.044
Se: 0.395 0.790 0.257
Se: 0.171 0.343 0.153

## Properties
For the energy relative to the elements, uncorrected, the calculation gives -48.6 kJ/mol of atoms.

In μB per formula unit, the total magnetization values for the records above are, in order, 0.00; 0.00.
In g cm⁻³, the ρ values for the records above are, in order, 8.5; 5.1.